1.
## Ce4PmTh3P8 (PBE)

Data for a geometry-optimized Ce4PmTh3P8 structure.

Cell: 8.2364 8.2364 8.2364 Å, 60.01 60.01 60.01°
Last column: nearest neighbours and their distance in Å.
Fractional positions:
1 Ce 0.0000 0.0000 0.0000  6 P 2.90
2 Ce 0.0000 0.5000 0.5000  6 P 2.90
3 Ce 0.5000 0.0000 0.5000  6 P 2.90
4 Ce 0.5000 0.5000 0.0000  6 P 2.90
5 Pm 0.5000 0.5000 0.5000  6 P 2.93
6 Th 0.0000 0.0000 0.5000  6 P 2.92
7 Th 0.0000 0.5000 0.0000  6 P 2.92
8 Th 0.5000 0.0000 0.0000  6 P 2.92
9 P 0.2486 0.2486 0.7495  3 Ce 2.90, 2 Th 2.92, 1 Pm 2.93
10 P 0.2486 0.7495 0.2486  3 Ce 2.90, 2 Th 2.92, 1 Pm 2.93
11 P 0.2505 0.7514 0.7514  3 Ce 2.90, 2 Th 2.92, 1 Pm 2.93
12 P 0.2510 0.2510 0.2510  3 Ce 2.90, 3 Th 2.92
13 P 0.7490 0.7490 0.7490  3 Ce 2.90, 3 Th 2.92
14 P 0.7495 0.2486 0.2486  3 Ce 2.90, 2 Th 2.92, 1 Pm 2.93
15 P 0.7514 0.2505 0.7514  3 Ce 2.90, 2 Th 2.92, 1 Pm 2.93
16 P 0.7514 0.7514 0.2505  3 Ce 2.90, 2 Th 2.92, 1 Pm 2.93

Values from the calculation:
Space group = R-3m (166)
V = 24.7 A^3/atom
Total magnetization = 1.92 μB/cell
DFT formation energy = -1.54 eV/atom
E = -7.419 eV per atom

=====

2.
## Ce3Pm2TmP6 (PBE)

Data for a geometry-optimized Ce3Pm2TmP6 structure.

Cell: 7.0681 7.0681 7.0576 Å, 99.62 99.62 120.01°
Last column: nearest neighbours and their distance in Å.
Fractional positions:
1 Ce 0.0000 0.0000 0.0000  6 P 2.86-2.91
2 Ce 0.3322 0.6678 0.0000  6 P 2.86-2.91
3 Ce 0.6678 0.3322 0.0000  6 P 2.86-2.91
4 Pm 0.1662 0.8338 0.5000  6 P 2.91
5 Pm 0.8338 0.1662 0.5000  6 P 2.91
6 Tm 0.5000 0.5000 0.5000  6 P 2.85
7 P 0.0895 0.4165 0.2492  1 Tm 2.85, 3 Ce 2.86-2.91, 2 Pm 2.91
8 P 0.2573 0.2573 0.7521  1 Tm 2.85, 3 Ce 2.87-2.91, 2 Pm 2.91
9 P 0.4165 0.0895 0.2492  1 Tm 2.85, 3 Ce 2.86-2.91, 2 Pm 2.91
10 P 0.5835 0.9105 0.7508  1 Tm 2.85, 3 Ce 2.86-2.91, 2 Pm 2.91
11 P 0.7427 0.7427 0.2479  1 Tm 2.85, 3 Ce 2.87-2.91, 2 Pm 2.91
12 P 0.9105 0.5835 0.7508  1 Tm 2.85, 3 Ce 2.86-2.91, 2 Pm 2.91

Values from the calculation:
Space group = C2/m (12)
V = 24.0 A^3/atom
Total magnetization = 1.46 μB/cell
DFT formation energy = -1.54 eV/atom
E = -6.891 eV per atom